(1)
The following is a PBE calculation of a relaxed MgCu2Sb crystal, from Alexandria.

Properties
The total energy is -3.3397 eV per atom. Its uncorrected formation energy is 138 meV/atom.

a = 4.2283 Å, b = 4.2283 Å, c = 9.2099 Å
α = 76.73°, β = 76.73°, γ = 90.00°
Closest atoms and distances in Å follow each position.
Positions (direct):
Sb: 0.7500 0.2500 0.5000  4 Cu 2.60
Cu: 0.3750 0.3487 0.7500  2 Sb 2.60, 2 Mg 2.69, 2 Cu 2.84
Cu: 0.8750 0.9013 0.7500  2 Sb 2.60, 2 Mg 2.69, 2 Cu 2.84
Mg: 0.5000 0.5000 0.0000  4 Cu 2.69, 4 Sb 2.99
Cu: 0.0987 0.6250 0.2500  2 Sb 2.60, 2 Mg 2.69, 2 Cu 2.84
Sb: 0.0000 0.0000 0.0000  4 Cu 2.60
Cu: 0.6513 0.1250 0.2500  2 Sb 2.60, 2 Mg 2.69, 2 Cu 2.84
Mg: 0.2500 0.7500 0.5000  4 Cu 2.69, 4 Sb 2.99

(2)
The following is a PBE calculation of a relaxed Mg2Cu2Sb crystal, from Alexandria.

Properties
The total energy is -2.9948 eV per atom. Its uncorrected formation energy is 106 meV/atom.

a = 4.0279 Å, b = 4.0279 Å, c = 6.4893 Å
α = 71.92°, β = 71.92°, γ = 90.00°
Closest atoms and distances in Å follow each position.
Positions (direct):
Mg: 0.7500 0.2500 0.5000  4 Cu 2.66, 4 Mg 2.85
Sb: 0.0000 0.0000 0.0000  8 Cu 3.08
Mg: 0.2500 0.7500 0.5000  4 Cu 2.66, 4 Mg 2.85
Cu: 0.3991 0.3991 0.2019  1 Cu 2.35
Cu: 0.6009 0.6009 0.7981  1 Cu 2.35

(3)
The following is a PBE calculation of a relaxed MgCu4Sb crystal, from Alexandria.

Properties
The total energy is -3.7472 eV per atom. Its uncorrected formation energy is -64 meV/atom.

a = 5.0450 Å, b = 5.0450 Å, c = 5.0450 Å
α = 60.00°, β = 60.00°, γ = 60.00°
Closest atoms and distances in Å follow each position.
Positions (direct):
Sb: 0.0000 0.0000 0.0000  12 Cu 2.96, 4 Mg 3.09
Mg: 0.7500 0.7500 0.7500  12 Cu 2.96, 4 Sb 3.09
Cu: 0.3757 0.3757 0.3757  6 Cu 2.51-2.54
Cu: 0.8729 0.3757 0.3757  6 Cu 2.51-2.54
Cu: 0.3757 0.8729 0.3757  6 Cu 2.51-2.54
Cu: 0.3757 0.3757 0.8729  6 Cu 2.51-2.54

(4)
The following is a PBE calculation of a relaxed Mg6CuSb crystal, from Alexandria.

Properties
The total energy is -2.2453 eV per atom. Its uncorrected formation energy is -22 meV/atom.

a = 6.2535 Å, b = 6.2535 Å, c = 4.8109 Å
α = 90.00°, β = 90.00°, γ = 115.04°
Closest atoms and distances in Å follow each position.
Positions (direct):
Mg: 0.8369 0.1631 0.0000  10 Mg 3.03-3.36, 2 Sb 3.06
Mg: 0.6568 0.8404 0.5000  2 Cu 3.00-3.25, 7 Mg 3.03-3.34, 2 Sb 3.12-3.13
Mg: 0.3148 0.1329 0.0000  2 Cu 2.96, 7 Mg 2.98-3.28, 2 Sb 3.12
Mg: 0.1596 0.3432 0.5000  2 Cu 3.00-3.25, 7 Mg 3.03-3.34, 2 Sb 3.12-3.13
Cu: 0.1717 0.8283 0.5000  10 Mg 2.96-3.25
Mg: 0.3348 0.6652 0.0000  2 Cu 2.96, 8 Mg 2.98-3.28
Sb: 0.6582 0.3418 0.5000  10 Mg 3.06-3.13, 2 Cu 3.36
Mg: 0.8671 0.6852 0.0000  2 Cu 2.96, 7 Mg 2.98-3.28, 2 Sb 3.12

(5)
The following is a PBE calculation of a relaxed MgCu2Sb crystal, from Alexandria.

Properties
The total energy is -3.5182 eV per atom. Its uncorrected formation energy is -41 meV/atom.

a = 4.0256 Å, b = 3.5372 Å, c = 5.2352 Å
α = 71.03°, β = 90.00°, γ = 90.00°
Closest atoms and distances in Å follow each position.
Positions (direct):
Cu: 0.0000 0.1970 0.9802  2 Cu 2.49, 1 Mg 2.78, 2 Sb 2.78
Mg: 0.0000 0.4831 0.4190  7 Cu 2.77-2.81
Cu: 0.5000 0.0510 0.2760  2 Cu 2.49, 1 Sb 2.72, 4 Mg 2.77
Sb: 0.5000 0.7689 0.8249  7 Cu 2.72-2.85

(6)
The following is a PBE calculation of a relaxed MgCu2Sb crystal, from Alexandria.

Properties
The total energy is -3.4533 eV per atom. Its uncorrected formation energy is 24 meV/atom.

a = 3.4275 Å, b = 3.5432 Å, c = 5.7049 Å
α = 90.00°, β = 90.00°, γ = 90.00°
Closest atoms and distances in Å follow each position.
Positions (direct):
Cu: 0.0000 0.0000 0.0179  1 Cu 2.65, 4 Mg 2.80, 4 Sb 2.90
Sb: 0.5000 0.5000 0.7500  2 Mg 2.85, 8 Cu 2.90
Mg: 0.5000 0.5000 0.2500  8 Cu 2.80, 2 Sb 2.85
Cu: 0.0000 0.0000 0.4821  1 Cu 2.65, 4 Mg 2.80, 4 Sb 2.90